(1)
The following is a DFT calculation (PBE-GGA) of an optimized crystal structure of Fe2PdPt6.

a b c (Å): 3.919 4.799 8.290
angles (deg): 106.75 90.00 114.10
Positions (direct):
Pt1 0.330 0.660 0.945
Pt2 0.997 0.993 0.828
Pd1 0.000 0.000 0.500
Pt3 0.668 0.335 0.391
Pt4 0.332 0.665 0.609
Fe1 0.331 0.662 0.278
Pt5 0.003 0.007 0.172
Pt6 0.670 0.340 0.055
Fe2 0.669 0.338 0.722

Output
**SG**: C2/m (12)
**Energy of formation from the pure elements**: -0.18 eV per atom

=====

(2)
The following is a DFT calculation (PBE-GGA) of an optimized crystal structure of CeSmCuRh.

a b c (Å): 4.976 4.976 4.976
angles (deg): 60.00 60.00 60.00
Positions (direct):
Cu1 0.250 0.250 0.250
Ce1 0.500 0.500 0.500
Sm1 0.000 0.000 0.000
Rh1 0.750 0.750 0.750

Output
**SG**: F-43m (216)
**Energy of formation from the pure elements**: -0.40 eV per atom

=====

(3)
The following is a DFT calculation (PBE-GGA) of an optimized crystal structure of TbU4P5.

a b c (Å): 3.938 5.582 10.509
angles (deg): 105.40 100.80 90.00
Positions (direct):
P1 0.000 0.500 0.000
U1 0.201 0.201 0.403
P2 0.199 0.699 0.398
P3 0.801 0.301 0.602
U2 0.400 0.400 0.800
P4 0.602 0.102 0.205
Tb1 0.000 0.000 0.000
P5 0.398 0.898 0.795
U3 0.799 0.799 0.597
U4 0.600 0.600 0.200

Output
**SG**: Immm (71)
**Energy of formation from the pure elements**: -1.09 eV per atom

=====

(4)
The following is a DFT calculation (PBE-GGA) of an optimized crystal structure of Sc5Ru4Rh.

a b c (Å): 3.212 3.212 16.085
angles (deg): 90.00 90.00 90.00
Positions (direct):
Sc1 0.500 0.500 0.896
Ru1 0.000 0.000 0.600
Ru2 0.000 0.000 0.800
Ru3 0.000 0.000 0.400
Sc2 0.500 0.500 0.104
Rh1 0.000 0.000 0.000
Ru4 0.000 0.000 0.200
Sc3 0.500 0.500 0.500
Sc4 0.500 0.500 0.301
Sc5 0.500 0.500 0.699

Output
**SG**: P4/mmm (123)
**Energy of formation from the pure elements**: -0.65 eV per atom

=====

(5)
The following is a DFT calculation (PBE-GGA) of an optimized crystal structure of CaSiIN2.

a b c (Å): 4.637 4.637 6.262
angles (deg): 90.00 90.00 90.00
Positions (direct):
Si1 0.500 0.500 0.500
N1 0.000 0.500 0.000
N2 0.500 0.000 0.000
Ca1 0.000 0.000 0.000
I1 0.000 0.000 0.500

Output
**SG**: P4/mmm (123)
**ΔE_f (raw)**: 1440.6 meV per atom

=====

(6)
The following is a DFT calculation (PBE-GGA) of an optimized crystal structure of SmDyAlSi.

a b c (Å): 4.380 4.016 5.915
angles (deg): 90.00 111.73 90.00
Positions (direct):
Al1 0.570 0.500 0.139
Dy1 0.861 0.500 0.722
Si1 0.426 0.000 0.851
Sm1 0.144 0.000 0.288

Output
**SG**: Amm2 (38)
**ΔE_f (raw)**: -633.9 meV per atom

=====

What N(E_F) values result from the calculations? In sequence: 9.23 7.05 22.19 8.22 3.68 3.37 states/eV/f.u..
What total DFT energy (no corrections) values result from the calculations? In sequence: -59.95 -23.70 -87.70 -82.65 -18.42 -21.02 eV/cell.